No. 1
First-principles (PBE) data for a relaxed structure of SrY3, as listed in the Alexandria database.

```
SrY3
1.0
7.432 0.000 0.000
0.000 6.408 0.000
0.000 0.000 12.023
Y Sr
12 4
direct
0.877 0.762 0.010 Y
0.634 0.587 0.250 Y
0.377 0.738 0.510 Y
0.623 0.262 0.490 Y
0.366 0.413 0.750 Y
0.866 0.087 0.250 Y
0.877 0.762 0.490 Y
0.123 0.238 0.990 Y
0.623 0.262 0.010 Y
0.123 0.238 0.510 Y
0.377 0.738 0.990 Y
0.134 0.913 0.750 Y
0.374 0.075 0.250 Sr
0.874 0.425 0.750 Sr
0.126 0.575 0.250 Sr
0.626 0.925 0.750 Sr
```

Properties
total moment: 0.0 Bohr magnetons per cell
crystal system: orthorhombic
formation energy from the elements: 0.157 eV per atom


No. 2
First-principles (PBE) data for a relaxed structure of SrY, as listed in the Alexandria database.

```
SrY
1.0
3.867 0.000 0.000
-1.933 3.349 0.000
0.000 0.000 12.555
Y Sr
2 2
direct
0.667 0.333 0.893 Y
0.333 0.667 0.107 Y
0.333 0.667 0.643 Sr
0.667 0.333 0.357 Sr
```

Properties
total moment: 0.2 Bohr magnetons per cell
crystal system: trigonal
energy relative to the lowest polymorph listed for this composition: 0.017 eV/atom
formation energy from the elements: 0.127 eV per atom


No. 3
First-principles (PBE) data for a relaxed structure of Sr3Y, as listed in the Alexandria database.

```
Sr3Y
1.0
6.387 0.000 0.000
0.000 6.387 0.000
0.000 0.000 4.453
Y Sr
1 3
direct
0.000 0.500 0.500 Y
0.000 0.000 0.000 Sr
0.500 0.500 0.000 Sr
0.500 0.000 0.500 Sr
```

Properties
total moment: 0.0 Bohr magnetons per cell
crystal system: tetragonal
energy relative to the lowest polymorph listed for this composition: 0.047 eV/atom
formation energy from the elements: 0.185 eV per atom


No. 4
First-principles (PBE) data for a relaxed structure of SrY2, as listed in the Alexandria database.

```
SrY2
1.0
0.554 2.882 6.028
-1.350 3.515 -5.547
-5.352 -3.983 0.663
Y Sr
4 2
direct
0.139 0.639 0.779 Y
0.361 0.139 0.500 Y
0.861 0.361 0.221 Y
0.639 0.861 0.500 Y
0.250 0.250 0.000 Sr
0.750 0.750 0.000 Sr
```

Properties
total moment: 0.0 Bohr magnetons per cell
crystal system: tetragonal
energy relative to the lowest polymorph listed for this composition: 0.385 eV/atom
formation energy from the elements: 0.515 eV per atom


No. 5
First-principles (PBE) data for a relaxed structure of SrY, as listed in the Alexandria database.

```
SrY
1.0
-3.685 -0.332 -6.317
-7.190 -1.335 0.343
5.564 4.422 1.754
Sr Y
2 2
direct
0.011 0.011 0.000 Sr
0.739 0.239 0.500 Sr
0.484 0.484 0.000 Y
0.266 0.766 0.500 Y
```

Properties
total moment: 0.0 Bohr magnetons per cell
crystal system: orthorhombic
energy relative to the lowest polymorph listed for this composition: 0.115 eV/atom
formation energy from the elements: 0.225 eV per atom


No. 6
First-principles (PBE) data for a relaxed structure of Sr7Y6, as listed in the Alexandria database.

```
Sr7Y6
1.0
13.200 0.007 0.004
11.277 6.861 0.004
11.277 3.164 6.088
Y Sr
6 7
direct
0.854 0.854 0.854 Y
0.146 0.146 0.146 Y
0.042 0.042 0.042 Y
0.333 0.333 0.333 Y
0.958 0.958 0.958 Y
0.667 0.667 0.667 Y
0.922 0.411 0.411 Sr
0.589 0.589 0.078 Sr
0.411 0.922 0.411 Sr
0.589 0.078 0.589 Sr
0.078 0.589 0.589 Sr
0.411 0.411 0.922 Sr
0.500 0.500 0.500 Sr
```

Properties
total moment: 4.9 Bohr magnetons per cell
crystal system: trigonal
formation energy from the elements: 0.463 eV per atom


No. 7
First-principles (PBE) data for a relaxed structure of SrY, as listed in the Alexandria database.

```
SrY
1.0
3.776 0.000 0.000
0.000 3.776 0.000
0.000 0.000 5.723
Sr Y
1 1
direct
0.000 0.000 0.000 Sr
0.500 0.500 0.500 Y
```

Properties
total moment: 0.9 Bohr magnetons per cell
crystal system: tetragonal
energy relative to the lowest polymorph listed for this composition: 0.159 eV/atom
formation energy from the elements: 0.268 eV per atom


No. 8
First-principles (PBE) data for a relaxed structure of SrY, as listed in the Alexandria database.

```
SrY
1.0
-0.774 6.481 -9.438
-2.989 -5.856 9.404
0.508 3.175 2.139
Y Sr
2 2
direct
0.202 0.798 0.250 Y
0.798 0.202 0.750 Y
0.579 0.421 0.750 Sr
0.421 0.579 0.250 Sr
```

Properties
total moment: 0.0 Bohr magnetons per cell
crystal system: orthorhombic
energy relative to the lowest polymorph listed for this composition: 0.034 eV/atom
formation energy from the elements: 0.144 eV per atom


No. 9
First-principles (PBE) data for a relaxed structure of Sr5Y4, as listed in the Alexandria database.

```
Sr5Y4
1.0
-5.938 5.938 2.713
5.938 -5.938 2.713
5.938 5.938 -2.713
Sr Y
5 4
direct
0.329 0.671 0.000 Sr
0.329 0.329 0.659 Sr
0.671 0.671 0.341 Sr
0.000 0.000 0.000 Sr
0.671 0.329 0.000 Sr
0.358 0.000 0.358 Y
0.642 0.000 0.642 Y
0.000 0.642 0.642 Y
0.000 0.358 0.358 Y
```

Properties
total moment: 2.2 Bohr magnetons per cell
crystal system: tetragonal
formation energy from the elements: 0.164 eV per atom


No. 10
First-principles (PBE) data for a relaxed structure of SrY2, as listed in the Alexandria database.

```
SrY2
1.0
-1.794 1.794 17.905
1.794 -1.794 17.905
1.794 1.794 -17.905
Y Sr
4 2
direct
0.585 0.585 0.000 Y
0.335 0.835 0.500 Y
0.165 0.665 0.500 Y
0.415 0.415 0.000 Y
0.000 0.000 0.000 Sr
0.750 0.250 0.500 Sr
```

Properties
total moment: 2.7 Bohr magnetons per cell
crystal system: tetragonal
energy relative to the lowest polymorph listed for this composition: 0.220 eV/atom
formation energy from the elements: 0.351 eV per atom


No. 11
First-principles (PBE) data for a relaxed structure of Sr3Y, as listed in the Alexandria database.

```
Sr3Y
1.0
-6.091 3.446 2.617
-0.100 -2.113 -7.166
3.770 -4.338 4.774
Y Sr
1 3
direct
0.000 0.500 0.500 Y
0.500 0.500 0.000 Sr
0.000 0.000 0.000 Sr
0.500 0.000 0.500 Sr
```

Properties
total moment: 0.0 Bohr magnetons per cell
crystal system: trigonal
energy relative to the lowest polymorph listed for this composition: 0.041 eV/atom
formation energy from the elements: 0.179 eV per atom


No. 12
First-principles (PBE) data for a relaxed structure of Sr3Y5, as listed in the Alexandria database.

```
Sr3Y5
1.0
10.443 0.000 0.000
-5.221 9.044 0.000
0.000 0.000 6.533
Y Sr
10 6
direct
0.208 0.208 0.750 Y
0.208 0.000 0.250 Y
0.333 0.667 0.000 Y
0.000 0.208 0.250 Y
0.792 0.792 0.250 Y
0.667 0.333 0.000 Y
0.667 0.333 0.500 Y
0.000 0.792 0.750 Y
0.792 0.000 0.750 Y
0.333 0.667 0.500 Y
0.603 0.603 0.750 Sr
0.397 0.000 0.750 Sr
0.000 0.397 0.750 Sr
0.603 0.000 0.250 Sr
0.000 0.603 0.250 Sr
0.397 0.397 0.250 Sr
```

Properties
total moment: 4.8 Bohr magnetons per cell
crystal system: hexagonal
energy relative to the lowest polymorph listed for this composition: 0.139 eV/atom
formation energy from the elements: 0.380 eV per atom


No. 13
First-principles (PBE) data for a relaxed structure of SrY2, as listed in the Alexandria database.

```
SrY2
1.0
3.737 0.000 0.000
-1.868 3.236 0.000
0.000 0.000 9.284
Y Sr
2 1
direct
0.667 0.333 0.647 Y
0.333 0.667 0.353 Y
0.000 0.000 0.000 Sr
```

Properties
total moment: 0.0 Bohr magnetons per cell
crystal system: trigonal
energy relative to the lowest polymorph listed for this composition: 0.020 eV/atom
formation energy from the elements: 0.151 eV per atom


No. 14
First-principles (PBE) data for a relaxed structure of SrY3, as listed in the Alexandria database.

```
SrY3
1.0
5.226 0.000 0.000
0.000 5.226 0.000
0.000 0.000 5.226
Sr Y
1 3
direct
0.000 0.000 0.000 Sr
0.500 0.500 0.000 Y
0.500 0.000 0.500 Y
0.000 0.500 0.500 Y
```

Properties
total moment: 0.0 Bohr magnetons per cell
crystal system: cubic
formation energy from the elements: 0.208 eV per atom


No. 15
First-principles (PBE) data for a relaxed structure of Sr3Y, as listed in the Alexandria database.

```
Sr3Y
1.0
5.725 0.000 0.000
0.000 5.725 0.000
0.000 0.000 5.725
Sr Y
3 1
direct
0.500 0.000 0.500 Sr
0.000 0.500 0.500 Sr
0.500 0.500 0.000 Sr
0.000 0.000 0.000 Y
```

Properties
total moment: 0.9 Bohr magnetons per cell
crystal system: cubic
energy relative to the lowest polymorph listed for this composition: 0.071 eV/atom
formation energy from the elements: 0.209 eV per atom


No. 16
First-principles (PBE) data for a relaxed structure of SrY, as listed in the Alexandria database.

```
SrY
1.0
-6.206 -8.419 -7.565
-2.593 -9.300 -8.569
-4.179 -10.926 -5.458
Y Sr
2 2
direct
0.244 0.244 0.244 Y
0.506 0.506 0.506 Y
0.994 0.994 0.994 Sr
0.756 0.756 0.756 Sr
```

Properties
total moment: 0.0 Bohr magnetons per cell
crystal system: trigonal
energy relative to the lowest polymorph listed for this composition: 0.041 eV/atom
formation energy from the elements: 0.151 eV per atom


No. 17
First-principles (PBE) data for a relaxed structure of SrY, as listed in the Alexandria database.

```
SrY
1.0
3.860 0.000 0.000
-1.930 3.342 0.000
0.000 0.000 37.844
Y Sr
6 6
direct
0.333 0.667 0.678 Y
0.667 0.333 0.940 Y
0.000 0.000 0.011 Y
0.000 0.000 0.607 Y
0.333 0.667 0.274 Y
0.667 0.333 0.345 Y
0.667 0.333 0.522 Sr
0.667 0.333 0.094 Sr
0.333 0.667 0.428 Sr
0.000 0.000 0.761 Sr
0.000 0.000 0.189 Sr
0.333 0.667 0.856 Sr
```

Properties
total moment: 0.0 Bohr magnetons per cell
crystal system: trigonal
energy relative to the lowest polymorph listed for this composition: 0.026 eV/atom
formation energy from the elements: 0.136 eV per atom


No. 18
First-principles (PBE) data for a relaxed structure of Sr3Y, as listed in the Alexandria database.

```
Sr3Y
1.0
-2.108 2.987 5.208
2.419 -1.457 5.702
3.752 4.157 3.021
Y Sr
1 3
direct
0.750 0.750 0.750 Y
0.000 0.000 0.000 Sr
0.250 0.250 0.250 Sr
0.500 0.500 0.500 Sr
```

Properties
total moment: 0.0 Bohr magnetons per cell
crystal system: cubic
energy relative to the lowest polymorph listed for this composition: 0.047 eV/atom
formation energy from the elements: 0.184 eV per atom


No. 19
First-principles (PBE) data for a relaxed structure of Sr3Y, as listed in the Alexandria database.

```
Sr3Y
1.0
-4.186 -4.723 -0.274
0.780 -0.906 3.694
-5.073 4.285 3.622
Sr Y
3 1
direct
0.000 0.010 0.013 Sr
0.000 0.490 0.487 Sr
0.500 0.750 0.750 Sr
0.500 0.250 0.250 Y
```

Properties
total moment: 0.0 Bohr magnetons per cell
crystal system: monoclinic
energy relative to the lowest polymorph listed for this composition: 0.031 eV/atom
formation energy from the elements: 0.169 eV per atom


No. 20
First-principles (PBE) data for a relaxed structure of SrY3, as listed in the Alexandria database.

```
SrY3
1.0
-1.196 -3.342 5.372
2.163 -3.956 -4.596
3.427 0.573 1.120
Y Sr
3 1
direct
0.500 0.500 0.000 Y
0.000 0.500 0.500 Y
0.500 0.000 0.500 Y
0.000 0.000 0.000 Sr
```

Properties
total moment: 0.0 Bohr magnetons per cell
crystal system: orthorhombic
formation energy from the elements: 0.193 eV per atom


No. 21
First-principles (PBE) data for a relaxed structure of SrY2, as listed in the Alexandria database.

```
SrY2
1.0
6.499 -3.298 1.375
7.263 0.396 1.448
0.400 -0.254 8.666
Y Sr
4 2
direct
0.343 0.343 0.530 Y
0.704 0.704 0.859 Y
0.657 0.657 0.470 Y
0.296 0.296 0.141 Y
0.973 0.973 0.792 Sr
0.027 0.027 0.208 Sr
```

Properties
total moment: 1.8 Bohr magnetons per cell
crystal system: monoclinic
energy relative to the lowest polymorph listed for this composition: 0.017 eV/atom
formation energy from the elements: 0.147 eV per atom


No. 22
First-principles (PBE) data for a relaxed structure of Sr3Y, as listed in the Alexandria database.

```
Sr3Y
1.0
7.062 -0.056 0.000
-2.393 6.645 0.000
0.000 0.000 4.000
Sr Y
3 1
direct
0.000 0.500 0.500 Sr
0.500 0.500 0.000 Sr
0.500 0.000 0.500 Sr
0.000 0.000 0.000 Y
```

Properties
total moment: 1.0 Bohr magnetons per cell
crystal system: orthorhombic
energy relative to the lowest polymorph listed for this composition: 0.057 eV/atom
formation energy from the elements: 0.195 eV per atom


No. 23
First-principles (PBE) data for a relaxed structure of SrY, as listed in the Alexandria database.

```
SrY
1.0
-3.879 0.143 0.137
-0.146 -0.268 -3.872
-0.376 -10.937 0.772
Y Sr
2 2
direct
0.000 0.500 0.097 Y
0.500 0.000 0.903 Y
0.500 0.000 0.349 Sr
0.000 0.500 0.651 Sr
```

Properties
total moment: 0.0 Bohr magnetons per cell
crystal system: tetragonal
energy relative to the lowest polymorph listed for this composition: 0.000 eV/atom
formation energy from the elements: 0.110 eV per atom


No. 24
First-principles (PBE) data for a relaxed structure of SrY, as listed in the Alexandria database.

```
SrY
1.0
3.776 0.000 0.318
0.000 6.141 0.000
-0.573 0.000 6.901
Y Sr
2 2
direct
0.251 0.250 0.424 Y
0.749 0.750 0.576 Y
0.249 0.750 0.098 Sr
0.751 0.250 0.902 Sr
```

Properties
total moment: 1.1 Bohr magnetons per cell
crystal system: monoclinic
energy relative to the lowest polymorph listed for this composition: 0.104 eV/atom
formation energy from the elements: 0.214 eV per atom


No. 25
First-principles (PBE) data for a relaxed structure of SrY3, as listed in the Alexandria database.

```
SrY3
1.0
5.059 0.000 0.000
0.000 3.689 0.018
0.000 3.654 7.767
Sr Y
1 3
direct
0.000 0.000 0.000 Sr
0.500 0.780 0.721 Y
0.500 0.220 0.279 Y
0.000 0.500 0.500 Y
```

Properties
total moment: 0.0 Bohr magnetons per cell
crystal system: orthorhombic
formation energy from the elements: 0.157 eV per atom


No. 26
First-principles (PBE) data for a relaxed structure of Sr3Y, as listed in the Alexandria database.

```
Sr3Y
1.0
-3.220 -2.235 -0.156
1.823 -2.472 -2.197
3.919 -6.376 10.428
Sr Y
3 1
direct
0.000 0.500 0.464 Sr
0.500 0.000 0.719 Sr
0.500 0.500 0.183 Sr
0.000 0.000 0.968 Y
```

Properties
total moment: 0.7 Bohr magnetons per cell
crystal system: orthorhombic
energy relative to the lowest polymorph listed for this composition: 0.132 eV/atom
formation energy from the elements: 0.270 eV per atom


No. 27
First-principles (PBE) data for a relaxed structure of SrY3, as listed in the Alexandria database.

```
SrY3
1.0
5.888 0.000 0.000
2.944 5.099 0.000
2.944 1.700 4.808
Sr Y
1 3
direct
0.000 0.000 0.000 Sr
0.750 0.750 0.750 Y
0.500 0.500 0.500 Y
0.250 0.250 0.250 Y
```

Properties
total moment: 1.3 Bohr magnetons per cell
crystal system: cubic
formation energy from the elements: 0.247 eV per atom


No. 28
First-principles (PBE) data for a relaxed structure of SrY3, as listed in the Alexandria database.

```
SrY3
1.0
-6.537 1.991 -1.098
1.798 -6.294 -2.248
3.060 2.277 5.775
Y Sr
3 1
direct
0.000 0.500 0.500 Y
0.500 0.000 0.500 Y
0.500 0.500 0.000 Y
0.000 0.000 0.000 Sr
```

Properties
total moment: 1.2 Bohr magnetons per cell
crystal system: trigonal
formation energy from the elements: 0.235 eV per atom